[1]
A plane-wave DFT calculation with GGA-PBE was carried out for an optimized crystal structure of BiSb2Pd.

Lattice parameters (Å, degrees): 3.5798 3.5798 29.8314 90.00 90.00 120.00
With the nearest neighbours (Å) after each atom.
Space group R-3m (No. 166, hexagonal axes)
One atom of each set of equivalent atoms:
Bi 0.0000 0.0000 0.0000 x3  2 Sb 3.18
Sb 0.0000 0.0000 0.1068 x6  3 Pd 2.73
Pd 0.0000 0.0000 0.5000 x3  6 Sb 2.73

Values from the calculation:
Volume (Å³/f.u.): 110
Magnetization (μB/f.u.): 0.00
Raw total energy (eV/f.u.): -17.57
E_form (uncorrected) (meV/atom): -63.4

***

[2]
A plane-wave DFT calculation with GGA-PBE was carried out for an optimized crystal structure of Tl3AgP2S8.

Lattice parameters (Å, degrees): 6.7200 6.7200 9.3859 90.00 90.00 120.00
With the nearest neighbours (Å) after each atom.
Space group P-3m1 (No. 164)
One atom of each set of equivalent atoms:
Tl 0.0000 0.0000 0.0000 x1  6 S 3.39
Tl 0.3333 0.6667 0.6459 x2  10 S 3.40-3.81
Ag 0.0000 0.0000 0.5000 x1  6 S 2.69
P 0.3333 0.6667 0.2357 x2  4 S 2.01-2.05
S 0.1643 0.3286 0.2988 x6  1 P 2.05
S 0.3333 0.6667 0.0214 x2  1 P 2.01

Values from the calculation:
Volume (Å³/f.u.): 367
Magnetization (μB/f.u.): 0.00
Raw total energy (eV/f.u.): -55.87
E_form (uncorrected) (meV/atom): -148.4

***

[3]
A plane-wave DFT calculation with GGA-PBE was carried out for an optimized crystal structure of PmICl2.

Lattice parameters (Å, degrees): 13.1824 6.1975 4.1746 90.00 103.88 90.00
With the nearest neighbours (Å) after each atom.
Space group C2/m (No. 12)
One atom of each set of equivalent atoms:
Pm 0.0000 0.0000 0.0000 x2  4 Cl 2.74-2.75
I 0.0000 0.5000 0.0000 x2  2 Pm 3.10
Cl 0.1393 0.0000 0.6056 x4  2 Pm 2.74-2.75

Values from the calculation:
Volume (Å³/f.u.): 166
Magnetization (μB/f.u.): 0.00
Raw total energy (eV/f.u.): -17.69
E_form (uncorrected) (meV/atom): -1923.3
Energy above the lowest structure with this stoichiometry (meV/atom): 45